Record 1
Material: TaTcPb
Method: DFT, PBE-GGA
State: optimized geometry

Properties
- Offset from the most stable computed form: 113 meV/atom
- Total magnetic moment: 0.00 μB/f.u.
- ΔE_f: 0.4224 eV/atom
- E: -8.220 eV per atom

Lattice parameters (Å, degrees): 3.438 5.115 13.888 90.00 90.00 90.00
Space group Fmm2 (No. 42)
Symmetry-distinct sites (fractional):
Ta 0.000 0.000 0.000 (multiplicity 4)
Tc 0.000 0.000 0.631 (multiplicity 4)
Pb 0.000 0.000 0.308 (multiplicity 4)

Record 2
Material: NdDyGaAu
Method: DFT, PBE-GGA
State: optimized geometry

Properties
- Offset from the most stable computed form: 0 meV/atom
- Total magnetic moment: 0.00 μB/f.u.
- ΔE_f: -0.6864 eV/atom
- E: -4.605 eV per atom

Lattice parameters (Å, degrees): 4.555 3.874 11.416 90.00 90.00 90.00
Space group Amm2 (No. 38)
Symmetry-distinct sites (fractional):
Nd 0.000 0.000 0.000 (multiplicity 2)
Dy 0.500 0.000 0.284 (multiplicity 2)
Ga 0.500 0.000 0.568 (multiplicity 2)
Au 0.000 0.000 0.726 (multiplicity 2)

> The lowest ΔE_f belongs to which entry?

NdDyGaAu

> Among the records above, which one has the highest offset from the most stable computed form?

TaTcPb

Copy entry 1 word for word.
Material: TaTcPb
Method: DFT, PBE-GGA
State: optimized geometry

Properties
- Offset from the most stable computed form: 113 meV/atom
- Total magnetic moment: 0.00 μB/f.u.
- ΔE_f: 0.4224 eV/atom
- E: -8.220 eV per atom

Lattice parameters (Å, degrees): 3.438 5.115 13.888 90.00 90.00 90.00
Space group Fmm2 (No. 42)
Symmetry-distinct sites (fractional):
Ta 0.000 0.000 0.000 (multiplicity 4)
Tc 0.000 0.000 0.631 (multiplicity 4)
Pb 0.000 0.000 0.308 (multiplicity 4)